Density functional theory data (PBE) for crystalline Zn2CuPb at its relaxed geometry.

Cell and atoms, written as CIF:
```
data_Zn2CuPb
_symmetry_space_group_name_H-M 'P 1'
_symmetry_Int_Tables_number 1
_symmetry_space_group_name_Hall 'P 1'
_cell_length_a 4.746
_cell_length_b 4.746
_cell_length_c 4.746
_cell_angle_alpha 60.00
_cell_angle_beta 60.00
_cell_angle_gamma 60.00
loop_
_atom_site_label
_atom_site_type_symbol
_atom_site_fract_x
_atom_site_fract_y
_atom_site_fract_z
Cu1 Cu 0.500 0.500 0.500
Pb1 Pb 0.750 0.750 0.750
Zn1 Zn 0.000 0.000 0.000
Zn2 Zn 0.250 0.250 0.250
```

Properties
As for the formation energy: 269 meV per atom. The value obtained for the spin magnetization is 0.0 μB per formula unit. Its relative energy among the computed polymorphs is 172 meV/atom.

Density functional theory data (PBE) for crystalline ZnCuPb2 at its relaxed geometry.

Cell and atoms, written as CIF:
```
data_ZnCuPb2
_symmetry_space_group_name_H-M 'P 1'
_symmetry_Int_Tables_number 1
_symmetry_space_group_name_Hall 'P 1'
_cell_length_a 3.479
_cell_length_b 3.274
_cell_length_c 8.737
_cell_angle_alpha 67.71
_cell_angle_beta 90.00
_cell_angle_gamma 90.00
loop_
_atom_site_label
_atom_site_type_symbol
_atom_site_fract_x
_atom_site_fract_y
_atom_site_fract_z
Cu1 Cu 0.500 0.750 0.750
Pb1 Pb 0.000 0.017 0.976
Pb2 Pb 0.000 0.483 0.524
Zn1 Zn 0.500 0.250 0.250
```

Properties
As for the formation energy: 237 meV per atom. The value obtained for the spin magnetization is 0.0 μB per formula unit. Its relative energy among the computed polymorphs is 142 meV/atom.

Density functional theory data (PBE) for crystalline Zn2CuPb at its relaxed geometry.

Cell and atoms, written as CIF:
```
data_Zn2CuPb
_symmetry_space_group_name_H-M 'P 1'
_symmetry_Int_Tables_number 1
_symmetry_space_group_name_Hall 'P 1'
_cell_length_a 4.090
_cell_length_b 3.331
_cell_length_c 5.690
_cell_angle_alpha 89.95
_cell_angle_beta 90.00
_cell_angle_gamma 90.00
loop_
_atom_site_label
_atom_site_type_symbol
_atom_site_fract_x
_atom_site_fract_y
_atom_site_fract_z
Cu1 Cu 0.000 0.375 0.469
Pb1 Pb 0.500 0.874 0.708
Zn1 Zn 0.000 0.875 0.129
Zn2 Zn 0.500 0.375 0.195
```

Properties
As for the formation energy: 155 meV per atom. The value obtained for the spin magnetization is 0.0 μB per formula unit. Its relative energy among the computed polymorphs is 58 meV/atom.

Density functional theory data (PBE) for crystalline Zn2CuPb at its relaxed geometry.

Cell and atoms, written as CIF:
```
data_Zn2CuPb
_symmetry_space_group_name_H-M 'P 1'
_symmetry_Int_Tables_number 1
_symmetry_space_group_name_Hall 'P 1'
_cell_length_a 4.759
_cell_length_b 4.759
_cell_length_c 4.759
_cell_angle_alpha 60.00
_cell_angle_beta 60.00
_cell_angle_gamma 60.00
loop_
_atom_site_label
_atom_site_type_symbol
_atom_site_fract_x
_atom_site_fract_y
_atom_site_fract_z
Pb1 Pb 0.500 0.500 0.500
Zn1 Zn 0.250 0.250 0.250
Zn2 Zn 0.750 0.750 0.750
Cu1 Cu 0.000 0.000 0.000
```

Properties
As for the formation energy: 331 meV per atom. The value obtained for the spin magnetization is 0.0 μB per formula unit. Its relative energy among the computed polymorphs is 235 meV/atom.

Density functional theory data (PBE) for crystalline ZnCu2Pb at its relaxed geometry.

Cell and atoms, written as CIF:
```
data_ZnCu2Pb
_symmetry_space_group_name_H-M 'P 1'
_symmetry_Int_Tables_number 1
_symmetry_space_group_name_Hall 'P 1'
_cell_length_a 8.626
_cell_length_b 8.626
_cell_length_c 8.626
_cell_angle_alpha 20.87
_cell_angle_beta 20.87
_cell_angle_gamma 20.87
loop_
_atom_site_label
_atom_site_type_symbol
_atom_site_fract_x
_atom_site_fract_y
_atom_site_fract_z
Cu1 Cu 0.011 0.011 0.011
Cu2 Cu 0.489 0.489 0.489
Pb1 Pb 0.250 0.250 0.250
Zn1 Zn 0.750 0.750 0.750
```

Properties
As for the formation energy: 301 meV per atom. The value obtained for the spin magnetization is 0.0 μB per formula unit. Its relative energy among the computed polymorphs is 149 meV/atom.

Density functional theory data (PBE) for crystalline ZnCuPb2 at its relaxed geometry.

Cell and atoms, written as CIF:
```
data_ZnCuPb2
_symmetry_space_group_name_H-M 'P 1'
_symmetry_Int_Tables_number 1
_symmetry_space_group_name_Hall 'P 1'
_cell_length_a 3.327
_cell_length_b 3.327
_cell_length_c 8.245
_cell_angle_alpha 90.00
_cell_angle_beta 90.00
_cell_angle_gamma 90.00
loop_
_atom_site_label
_atom_site_type_symbol
_atom_site_fract_x
_atom_site_fract_y
_atom_site_fract_z
Cu1 Cu 0.500 0.500 0.692
Pb1 Pb 0.000 0.000 0.933
Pb2 Pb 0.500 0.500 0.310
Zn1 Zn 0.000 0.000 0.565
```

Properties
As for the formation energy: 108 meV per atom. The value obtained for the spin magnetization is 0.0 μB per formula unit. Its relative energy among the computed polymorphs is 12 meV/atom.

Density functional theory data (PBE) for crystalline ZnCu2Pb at its relaxed geometry.

Cell and atoms, written as CIF:
```
data_ZnCu2Pb
_symmetry_space_group_name_H-M 'P 1'
_symmetry_Int_Tables_number 1
_symmetry_space_group_name_Hall 'P 1'
_cell_length_a 4.595
_cell_length_b 4.595
_cell_length_c 4.595
_cell_angle_alpha 60.00
_cell_angle_beta 60.00
_cell_angle_gamma 60.00
loop_
_atom_site_label
_atom_site_type_symbol
_atom_site_fract_x
_atom_site_fract_y
_atom_site_fract_z
Pb1 Pb 0.500 0.500 0.500
Zn1 Zn 0.000 0.000 0.000
Cu1 Cu 0.250 0.250 0.250
Cu2 Cu 0.750 0.750 0.750
```

Properties
As for the formation energy: 265 meV per atom. The value obtained for the spin magnetization is 0.0 μB per formula unit. Its relative energy among the computed polymorphs is 113 meV/atom.

Density functional theory data (PBE) for crystalline ZnCuPb2 at its relaxed geometry.

Cell and atoms, written as CIF:
```
data_ZnCuPb2
_symmetry_space_group_name_H-M 'P 1'
_symmetry_Int_Tables_number 1
_symmetry_space_group_name_Hall 'P 1'
_cell_length_a 4.244
_cell_length_b 4.104
_cell_length_c 5.553
_cell_angle_alpha 69.39
_cell_angle_beta 90.00
_cell_angle_gamma 90.00
loop_
_atom_site_label
_atom_site_type_symbol
_atom_site_fract_x
_atom_site_fract_y
_atom_site_fract_z
Cu1 Cu 0.500 0.561 0.763
Pb1 Pb 0.000 0.976 0.922
Pb2 Pb 0.500 0.275 0.324
Zn1 Zn 0.000 0.688 0.492
```

Properties
As for the formation energy: 132 meV per atom. The value obtained for the spin magnetization is 0.0 μB per formula unit. Its relative energy among the computed polymorphs is 37 meV/atom.